The following is a DFT calculation (PBE-GGA) of an optimized crystal structure of Li5ZnAg2.

crystal system = orthorhombic
energy above the most stable polymorph in this dataset = 0 meV/atom
calculated total energy = -2.24 eV/atom
formation enthalpy at 0 K = -1.4 eV per formula unit
DOS at the Fermi energy = 0.30 states/eV per atom
mass density = 4.1 Mg/m³

abc: 5.7678 11.5632 3.8720
angles: 90.00 90.00 90.00
Space group Pbam (No. 55)
Inequivalent atoms, fractional coordinates:
Li  0.0000  0.0000  0.0000 [2 per cell]
Li  0.0028  0.2527  0.0000 [4 per cell]
Li  0.2426  0.6231  0.5000 [4 per cell]
Zn  0.0000  0.5000  0.0000 [2 per cell]
Ag  0.2504  0.3788  0.5000 [4 per cell]